Entry from Alexandria via LeMat-Bulk: a geometry-optimized CaB3Te structure (PBE-GGA).

Output
ΔE to the lowest computed polymorph in meV/atom: 827
Size of the total moment in μB/cell: 1.1
ρ in g/cm3: 2.92
Total DFT energy (no corrections) in eV per formula unit: -12.84

The structure in POSCAR format:
```
CaB3Te
1.0
4.846 0.000 0.000
0.000 4.846 0.000
0.000 0.000 4.846
Ca B Te
1 3 1
Direct
0.000 0.000 0.000 Ca
0.000 0.000 0.500 B
0.000 0.500 0.000 B
0.500 0.000 0.000 B
0.500 0.500 0.500 Te
```

---

Entry from Alexandria via LeMat-Bulk: a geometry-optimized HfTlCdF7 structure (PBE-GGA).

Output
Size of the total moment in μB/cell: 0.0
ρ in g/cm3: 6.25
Total DFT energy (no corrections) in eV per formula unit: -56.20

The structure in POSCAR format:
```
HfTlCdF7
1.0
3.453 -5.626 0.000
3.453 5.626 0.000
0.000 0.000 8.589
Hf Tl Cd F
2 2 2 14
Direct
0.192 0.808 0.750 Hf
0.808 0.192 0.250 Hf
0.500 0.500 0.000 Tl
0.500 0.500 0.500 Tl
0.190 0.810 0.250 Cd
0.810 0.190 0.750 Cd
0.012 0.988 0.750 F
0.151 0.435 0.250 F
0.172 0.478 0.750 F
0.201 0.799 0.516 F
0.201 0.799 0.984 F
0.435 0.151 0.750 F
0.478 0.172 0.250 F
0.522 0.828 0.750 F
0.565 0.849 0.250 F
0.799 0.201 0.016 F
0.799 0.201 0.484 F
0.828 0.522 0.250 F
0.849 0.565 0.750 F
0.988 0.012 0.250 F
```

---

Entry from Alexandria via LeMat-Bulk: a geometry-optimized AcPrAgBi structure (PBE-GGA).

Output
Size of the total moment in μB/cell: 0.0
ΔH_f (0 K) in kJ/mol of atoms: -45.3
ρ in g/cm3: 8.97
Total DFT energy (no corrections) in eV per formula unit: -17.50

The structure in POSCAR format:
```
AcPrAgBi
1.0
0.000 3.987 3.987
3.987 0.000 3.987
3.987 3.987 0.000
Ac Pr Ag Bi
1 1 1 1
Direct
0.000 0.000 0.000 Ac
0.500 0.500 0.500 Pr
0.750 0.750 0.750 Ag
0.250 0.250 0.250 Bi
```

---

Entry from Alexandria via LeMat-Bulk: a geometry-optimized TlRu3 structure (PBE-GGA).

Output
ΔE to the lowest computed polymorph in meV/atom: 112
Size of the total moment in μB/cell: 0.0
ΔH_f (0 K) in kJ/mol of atoms: 54.1
ρ in g/cm3: 13.36
Total DFT energy (no corrections) in eV per formula unit: -27.95

The structure in POSCAR format:
```
TlRu3
1.0
-1.959 1.959 4.112
1.959 -1.959 4.112
1.959 1.959 -4.112
Tl Ru
1 3
Direct
0.000 0.000 0.000 Tl
0.250 0.750 0.500 Ru
0.500 0.500 0.000 Ru
0.750 0.250 0.500 Ru
```

---

Entry from Alexandria via LeMat-Bulk: a geometry-optimized CaLa3Ru structure (PBE-GGA).

Output
ΔE to the lowest computed polymorph in meV/atom: 945
Size of the total moment in μB/cell: 0.0
ΔH_f (0 K) in kJ/mol of atoms: 74.7
ρ in g/cm3: 4.31
Total DFT energy (no corrections) in eV per formula unit: -22.19

The structure in POSCAR format:
```
CaLa3Ru
1.0
-2.889 2.889 12.885
2.889 -2.889 12.885
2.889 2.889 -12.885
Ca La Ru
2 6 2
Direct
0.000 0.000 0.000 Ca
0.750 0.250 0.500 Ca
0.291 0.291 0.000 La
0.376 0.137 0.239 La
0.709 0.709 0.000 La
0.863 0.102 0.239 La
0.863 0.624 0.761 La
0.898 0.137 0.761 La
0.202 0.702 0.500 Ru
0.298 0.798 0.500 Ru
```

---

Entry from Alexandria via LeMat-Bulk: a geometry-optimized Ta2AlPb structure (PBE-GGA).

Output
Size of the total moment in μB/cell: 0.0
ΔH_f (0 K) in kJ/mol of atoms: 35.3
ρ in g/cm3: 12.93
Total DFT energy (no corrections) in eV per formula unit: -29.69

The structure in POSCAR format:
```
Ta2AlPb
1.0
-2.082 2.082 4.415
2.082 -2.082 4.415
2.082 2.082 -4.415
Ta Al Pb
2 1 1
Direct
0.250 0.750 0.500 Ta
0.750 0.250 0.500 Ta
0.000 0.000 0.000 Al
0.500 0.500 0.000 Pb
```